1.
Rb3Pu2ZrTe6 (PBE, relaxed); symmetry = C2/m, No. 12; energy relative to the elements, uncorrected = -1.063 eV per atom
1.0
7.7884 -0.0012 -0.0014
-3.8934 6.7455 -0.0014
-1.3002 -2.2514 8.5485
Te Rb Pu Zr
6 3 2 1
Direct
0.6176 0.9342 0.8024
0.2496 0.2496 0.8011
0.3824 0.0658 0.1976
0.7504 0.7504 0.1989
0.0658 0.3824 0.1976
0.9342 0.6176 0.8024
0.8291 0.1709 0.5000
0.5000 0.5000 0.5000
0.1709 0.8291 0.5000
0.6662 0.3338 0.0000
0.3338 0.6662 0.0000
0.0000 0.0000 0.0000

***

2.
Rb2PuZrTe4 (PBE, relaxed); symmetry = P2/m, No. 10; energy relative to the elements, uncorrected = -1.028 eV per atom
1.0
-3.9696 0.8083 1.7443
-3.3000 -1.6971 -6.7237
0.4552 -7.6788 4.5942
Te Rb Pu Zr
4 2 1 1
Direct
0.0000 0.2830 0.8052
0.0000 0.7170 0.1948
0.5000 0.7505 0.7998
0.5000 0.2495 0.2002
0.0000 0.5000 0.5000
0.5000 0.0000 0.5000
0.0000 0.0000 0.0000
0.5000 0.5000 0.0000

***

3.
RbPuTl2 (PBE, relaxed); symmetry = P4/mmm, No. 123; polymorph energy (0 for the lowest one) = 0.00 eV/f.u.
1.0
-3.5550 -1.2491 -0.6004
0.9985 -1.1621 -3.4945
2.3624 -8.3891 3.4648
Tl Pu Rb
2 1 1
Direct
0.0000 0.0000 0.2061
0.0000 0.0000 0.7939
0.5000 0.5000 0.0000
0.5000 0.5000 0.5000

***

Repeat the first record exactly.
Rb3Pu2ZrTe6 (PBE, relaxed); symmetry = C2/m, No. 12; energy relative to the elements, uncorrected = -1.063 eV per atom
1.0
7.7884 -0.0012 -0.0014
-3.8934 6.7455 -0.0014
-1.3002 -2.2514 8.5485
Te Rb Pu Zr
6 3 2 1
Direct
0.6176 0.9342 0.8024
0.2496 0.2496 0.8011
0.3824 0.0658 0.1976
0.7504 0.7504 0.1989
0.0658 0.3824 0.1976
0.9342 0.6176 0.8024
0.8291 0.1709 0.5000
0.5000 0.5000 0.5000
0.1709 0.8291 0.5000
0.6662 0.3338 0.0000
0.3338 0.6662 0.0000
0.0000 0.0000 0.0000